This record from the Alexandria database describes a geometry-optimized Dy5Cd2Ni2 structure. The functional is PBE.

extended XYZ file:
```
18
Lattice="-4.742 -5.463 1.340 5.574 -4.991 -0.617 -0.901 -2.067 8.582" Properties=species:S:1:pos:R:3 pbc="T T T"
Ni 3.098 -6.463 -0.033
Dy 3.279 -4.203 1.670
Ni 1.544 -2.547 -0.073
Dy -0.189 -2.492 2.170
Cd 1.068 -4.932 3.870
Ni -2.266 -3.991 0.756
Ni -0.711 -7.906 0.796
Cd -1.137 -7.588 5.435
Dy 1.709 -7.651 2.251
Dy 0.121 -10.029 7.135
Cd -1.553 -2.362 5.074
Dy 1.691 -6.580 6.554
Dy 0.416 -5.227 0.361
Cd -4.090 -5.168 4.848
Dy -3.348 -8.318 7.635
Dy -1.759 -5.940 2.751
Dy 0.000 0.000 0.000
Dy -1.778 -4.869 7.054
```

Its energy relative to the elements is -6.7 kcal/mol of atoms. The space group is Cmce. Its total energy is -4.3362 eV per atom.

---

This record from the Alexandria database describes a geometry-optimized La2SiCl structure. The functional is PBE.

extended XYZ file:
```
4
Lattice="3.569 0.000 0.000 0.000 3.569 0.000 0.000 0.000 7.937" Properties=species:S:1:pos:R:3 pbc="T T T"
Si 1.784 1.784 1.984
La 0.000 0.000 0.152
Cl 1.784 1.784 5.953
La 0.000 0.000 3.816
```

The space group is P4/mmm. Its total energy is -5.3249 eV per atom. As for the raw formation energy: -4.17 eV/f.u.